[1]
Hg2Os, optimized geometry, DFT GGA-PBE; energy of formation from the pure elements = 0.94 eV/atom; DOS at the Fermi energy = 3.135 states/eV/cell
1.0
-1.476 1.476 6.640
1.476 -1.476 6.640
1.476 1.476 -6.640
Hg Os
2 1
Direct
0.154 0.154 0.000
0.846 0.846 0.000
0.500 0.500 0.000



[2]
HgOs, optimized geometry, DFT GGA-PBE; energy of formation from the pure elements = 2.17 eV/atom; DOS at the Fermi energy = 2.723 states/eV/cell; polymorph energy (0 for the lowest one) = 1773.9 meV/atom
1.0
4.646 0.000 0.000
-2.323 4.023 0.000
0.000 0.000 5.432
Hg Os
2 2
Direct
0.333 0.667 0.250
0.667 0.333 0.750
0.333 0.667 0.750
0.667 0.333 0.250



[3]
HgOs4, optimized geometry, DFT GGA-PBE; energy of formation from the pure elements = 0.70 eV/atom; DOS at the Fermi energy = 5.156 states/eV/cell; polymorph energy (0 for the lowest one) = 0.0 meV/atom
1.0
-3.134 3.134 1.962
3.134 -3.134 1.962
3.134 3.134 -1.962
Hg Os
1 4
Direct
0.000 0.000 0.000
0.190 0.410 0.600
0.410 0.810 0.220
0.590 0.190 0.780
0.810 0.590 0.400



[4]
HgOs, optimized geometry, DFT GGA-PBE; energy of formation from the pure elements = 2.50 eV/atom; DOS at the Fermi energy = 1.209 states/eV/cell; polymorph energy (0 for the lowest one) = 2097.7 meV/atom
1.0
0.000 3.048 3.048
3.048 0.000 3.048
3.048 3.048 0.000
Hg Os
1 1
Direct
0.000 0.000 0.000
0.250 0.250 0.250



[5]
HgOs, optimized geometry, DFT GGA-PBE; energy of formation from the pure elements = 1.11 eV/atom; DOS at the Fermi energy = 4.369 states/eV/cell; polymorph energy (0 for the lowest one) = 711.7 meV/atom
1.0
-2.090 2.090 3.950
2.090 -2.090 3.950
2.090 2.090 -3.950
Hg Os
2 2
Direct
0.375 0.625 0.750
0.625 0.375 0.250
0.125 0.875 0.250
0.875 0.125 0.750



[6]
Hg2Os, optimized geometry, DFT GGA-PBE; energy of formation from the pure elements = 0.98 eV/atom; DOS at the Fermi energy = 1.574 states/eV/cell
1.0
-1.398 2.065 4.981
1.398 -2.065 4.981
1.398 2.065 -4.981
Hg Os
2 1
Direct
0.155 0.155 0.000
0.845 0.845 0.000
0.500 0.500 0.000



[7]
Hg3Os, optimized geometry, DFT GGA-PBE; energy of formation from the pure elements = 0.75 eV/atom; DOS at the Fermi energy = 2.121 states/eV/cell; polymorph energy (0 for the lowest one) = 147.0 meV/atom
1.0
-1.526 4.895 2.678
1.526 -4.895 2.678
1.526 4.895 -2.678
Hg Os
3 1
Direct
0.000 0.000 0.000
0.414 0.643 0.772
0.871 0.643 0.228
0.449 0.949 0.500



[8]
Hg3Os, optimized geometry, DFT GGA-PBE; energy of formation from the pure elements = 0.76 eV/atom; DOS at the Fermi energy = 2.719 states/eV/cell; polymorph energy (0 for the lowest one) = 159.9 meV/atom
1.0
2.928 -4.109 0.000
2.928 4.109 0.000
0.000 0.000 3.255
Hg Os
3 1
Direct
0.000 0.000 0.000
0.000 0.500 0.500
0.500 0.000 0.500
0.500 0.500 0.000



[9]
Hg3Os, optimized geometry, DFT GGA-PBE; energy of formation from the pure elements = 0.60 eV/atom; DOS at the Fermi energy = 2.183 states/eV/cell; polymorph energy (0 for the lowest one) = 0.0 meV/atom
1.0
-1.432 2.382 6.689
1.432 -2.382 6.689
1.432 2.382 -6.689
Hg Os
3 1
Direct
0.000 0.000 0.000
0.316 0.816 0.500
0.684 0.184 0.500
0.500 0.500 0.000



[10]
HgOs, optimized geometry, DFT GGA-PBE; energy of formation from the pure elements = 0.54 eV/atom; DOS at the Fermi energy = 1.814 states/eV/cell; polymorph energy (0 for the lowest one) = 143.7 meV/atom
1.0
1.430 0.826 10.341
-1.430 0.826 10.341
0.000 -1.651 10.341
Hg Os
2 2
Direct
0.115 0.115 0.115
0.885 0.885 0.885
0.366 0.366 0.366
0.634 0.634 0.634



[11]
HgOs, optimized geometry, DFT GGA-PBE; energy of formation from the pure elements = 0.96 eV/atom; DOS at the Fermi energy = 5.637 states/eV/cell; polymorph energy (0 for the lowest one) = 555.0 meV/atom
1.0
4.589 0.000 0.000
0.000 4.359 2.698
0.000 -4.359 2.698
Hg Os
3 3
Direct
0.000 0.000 0.000
0.500 0.625 0.991
0.500 0.991 0.625
0.000 0.330 0.621
0.000 0.621 0.330
0.500 0.373 0.373



[12]
Hg3Os, optimized geometry, DFT GGA-PBE; energy of formation from the pure elements = 0.82 eV/atom; DOS at the Fermi energy = 1.850 states/eV/cell; polymorph energy (0 for the lowest one) = 215.8 meV/atom
1.0
4.799 2.771 0.997
-4.799 2.771 0.997
0.000 -5.541 0.997
Hg Os
3 1
Direct
0.000 0.500 0.500
0.500 0.000 0.500
0.500 0.500 0.000
0.000 0.000 0.000



Number 1: calculated density 16.97 g/cm³, total moment 1.0 μB per cell, V 19.3 A^3/atom. Number 2: calculated density 12.78 g/cm³, total moment 4.0 μB per cell, V 25.4 A^3/atom. Number 3: calculated density 20.72 g/cm³, total moment 0.0 μB per cell, V 15.4 A^3/atom. Number 4: calculated density 11.46 g/cm³, total moment 2.2 μB per cell, V 28.3 A^3/atom. Number 5: calculated density 18.81 g/cm³, total moment 0.0 μB per cell, V 17.2 A^3/atom. Number 6: calculated density 17.08 g/cm³, total moment 0.0 μB per cell, V 19.2 A^3/atom. Number 7: calculated density 16.44 g/cm³, total moment 1.1 μB per cell, V 20.0 A^3/atom. Number 8: calculated density 16.79 g/cm³, total moment 0.0 μB per cell, V 19.6 A^3/atom. Number 9: calculated density 14.40 g/cm³, total moment 0.0 μB per cell, V 22.8 A^3/atom. Number 10: calculated density 17.71 g/cm³, total moment 0.0 μB per cell, V 18.3 A^3/atom. Number 11: calculated density 18.04 g/cm³, total moment 0.0 μB per cell, V 18.0 A^3/atom. Number 12: calculated density 16.54 g/cm³, total moment 1.2 μB per cell, V 19.9 A^3/atom.